# Li2Pr | OQMD | PBE-GGA | relaxed
data_Li2Pr
_chemical_formula_sum 'Li4 Pr2'
_space_group_name_H-M_alt 'P 1'
_space_group_IT_number 1
_cell_length_a 5.8773
_cell_length_b 5.8773
_cell_length_c 5.8773
_cell_angle_alpha 60.00
_cell_angle_beta 60.00
_cell_angle_gamma 60.00
loop_
_space_group_symop_operation_xyz
'x,y,z'
loop_
_atom_site_label
_atom_site_type_symbol
_atom_site_fract_x
_atom_site_fract_y
_atom_site_fract_z
_atom_site_occupancy
Li1 Li 0.1250 0.1250 0.1250 1
Li2 Li 0.6250 0.1250 0.1250 1
Li3 Li 0.1250 0.6250 0.1250 1
Li4 Li 0.1250 0.1250 0.6250 1
Pr1 Pr 0.5000 0.5000 0.5000 1
Pr2 Pr 0.7500 0.7500 0.7500 1
# ΔE to the lowest computed polymorph: 0.00 eV/f.u.
# SG: No. 227